[1]
Compound: CrAgF6
Source: the Alexandria database
Functional: PBE with a Hubbard U
Structure: relaxed

POSCAR file:
```
CrAgF6
1.0
5.412 0.000 0.000
0.000 8.922 0.000
-1.677 0.000 5.062
Cr Ag F
2 2 12
Cartesian
0.000 0.000 0.000
2.706 4.461 0.000
-0.839 4.461 2.531
1.867 0.000 2.531
-0.195 0.000 4.034
0.804 1.288 1.159
0.804 7.635 1.159
0.224 3.174 3.903
0.224 5.749 3.903
1.224 4.461 1.028
2.511 4.461 4.034
3.510 3.174 1.159
3.510 5.749 1.159
2.930 1.288 3.903
2.930 7.635 3.903
3.930 0.000 1.028
```

Summary:
final energy: -4.537 eV per atom
crystal system: monoclinic



[2]
Compound: Cr3AgF
Source: the Alexandria database
Functional: PBE with a Hubbard U
Structure: relaxed

POSCAR file:
```
Cr3AgF
1.0
4.495 0.000 0.000
0.000 4.495 0.000
0.000 0.000 4.495
Cr Ag F
3 1 1
Cartesian
0.000 0.000 2.248
0.000 2.248 0.000
2.248 0.000 0.000
2.248 2.248 2.248
0.000 0.000 0.000
```

Summary:
final energy: -5.431 eV per atom
crystal system: cubic



[3]
Compound: Cr3AgF
Source: the Alexandria database
Functional: PBE with a Hubbard U
Structure: relaxed

POSCAR file:
```
Cr3AgF
1.0
5.211 0.000 0.000
0.000 5.211 0.000
0.000 0.000 5.211
Cr Ag F
3 1 1
Cartesian
0.000 0.000 2.606
0.000 2.606 0.000
2.606 0.000 0.000
0.000 0.000 0.000
2.606 2.606 2.606
```

Summary:
final energy: -4.736 eV per atom
crystal system: cubic



[4]
Compound: CrAgF3
Source: the Alexandria database
Functional: PBE with a Hubbard U
Structure: relaxed

POSCAR file:
```
CrAgF3
1.0
4.120 0.000 0.000
0.000 4.120 0.000
0.000 0.000 4.120
Cr Ag F
1 1 3
Cartesian
0.000 0.000 0.000
2.060 2.060 2.060
0.000 0.000 2.060
0.000 2.060 0.000
2.060 0.000 0.000
```

Summary:
final energy: -5.030 eV per atom
crystal system: cubic



[5]
Compound: CrAgF6
Source: the Alexandria database
Functional: PBE with a Hubbard U
Structure: relaxed

POSCAR file:
```
CrAgF6
1.0
8.026 0.000 0.000
0.000 5.763 0.000
-1.988 0.000 4.744
Cr Ag F
2 2 12
Cartesian
0.000 0.000 0.000
4.013 2.882 0.000
-0.994 2.882 2.372
3.019 0.000 2.372
0.067 1.319 1.350
0.067 4.445 1.350
1.802 0.000 0.014
0.223 2.882 4.729
1.958 1.563 3.393
1.958 4.200 3.393
4.080 1.563 1.350
4.080 4.200 1.350
5.815 2.882 0.014
4.235 0.000 4.729
5.971 1.319 3.393
5.971 4.445 3.393
```

Summary:
final energy: -4.537 eV per atom
crystal system: monoclinic



[6]
Compound: CrAg7F12
Source: the Alexandria database
Functional: PBE with a Hubbard U
Structure: relaxed

POSCAR file:
```
CrAg7F12
1.0
6.471 3.736 2.162
-6.471 3.736 2.162
0.000 -7.472 2.162
Cr Ag F
1 7 12
Cartesian
0.000 0.000 0.000
-0.901 -3.969 2.257
-2.987 2.764 2.257
-3.887 -1.204 4.230
0.000 0.000 3.243
3.887 1.204 2.257
2.987 -2.764 4.230
0.901 3.969 4.230
-0.406 -1.522 1.154
-1.115 1.112 1.154
-3.628 0.831 2.992
-2.534 -2.726 3.494
1.521 0.410 1.154
1.094 -3.557 2.992
-1.094 3.557 3.494
-1.521 -0.410 5.332
2.534 2.726 2.992
3.628 -0.831 3.494
1.115 -1.112 5.332
0.406 1.522 5.332
```

Summary:
final energy: -3.843 eV per atom
crystal system: trigonal



[7]
Compound: CrAgF5
Source: the Alexandria database
Functional: PBE with a Hubbard U
Structure: relaxed

POSCAR file:
```
CrAgF5
1.0
3.884 0.000 0.000
0.000 6.628 0.000
0.000 0.000 8.029
Cr Ag F
2 2 10
Cartesian
0.000 0.000 0.000
1.942 3.314 4.015
0.000 0.000 4.015
1.942 3.314 0.000
0.000 0.000 1.939
0.000 0.000 6.091
0.000 1.940 0.000
0.000 3.314 4.015
0.000 4.688 0.000
1.942 0.000 0.000
1.942 1.374 4.015
1.942 3.314 2.076
1.942 3.314 5.953
1.942 5.254 4.015
```

Summary:
final energy: -4.808 eV per atom
crystal system: orthorhombic



[8]
Compound: CrAgF4
Source: the Alexandria database
Functional: PBE with a Hubbard U
Structure: relaxed

POSCAR file:
```
CrAgF4
1.0
5.461 0.000 0.000
0.000 6.055 0.000
0.000 0.000 5.124
Cr Ag F
2 2 8
Cartesian
0.000 0.000 0.000
2.730 0.000 2.562
0.000 3.027 2.562
2.730 3.027 0.000
0.000 1.772 0.718
0.000 4.283 4.406
1.365 0.619 3.843
1.365 5.436 1.281
2.730 1.772 1.844
2.730 4.283 3.279
4.096 0.619 3.843
4.096 5.436 1.281
```

Summary:
final energy: -5.118 eV per atom
crystal system: orthorhombic



[9]
Compound: CrAg3F8
Source: the Alexandria database
Functional: PBE with a Hubbard U
Structure: relaxed

POSCAR file:
```
CrAg3F8
1.0
2.823 -5.395 0.000
2.823 5.395 0.000
0.000 0.000 6.707
Cr Ag F
1 3 8
Cartesian
0.000 0.000 0.000
0.000 0.000 3.354
1.411 2.697 1.667
1.411 -2.697 5.041
2.823 3.410 0.000
2.823 3.257 3.354
1.310 0.115 1.399
1.310 -0.115 5.309
4.336 0.115 5.309
4.336 -0.115 1.399
2.823 -3.257 3.354
2.823 -3.410 0.000
```

Summary:
final energy: -4.219 eV per atom
crystal system: orthorhombic



[10]
Compound: Cr2Ag5F12
Source: the Alexandria database
Functional: PBE with a Hubbard U
Structure: relaxed

POSCAR file:
```
Cr2Ag5F12
1.0
6.316 -3.085 0.000
6.316 3.085 0.000
-1.980 0.000 7.708
Cr Ag F
2 5 12
Cartesian
6.316 1.548 0.000
6.316 -1.548 0.000
-0.990 0.000 3.854
3.214 0.000 1.791
2.539 0.000 4.778
8.114 0.000 2.931
7.438 0.000 5.918
-1.413 0.000 6.588
2.631 1.497 6.848
3.762 1.623 3.435
6.890 1.623 4.273
8.021 1.497 0.860
5.750 0.000 1.137
4.902 0.000 6.572
2.631 -1.497 6.848
3.762 -1.623 3.435
6.890 -1.623 4.273
8.021 -1.497 0.860
12.066 0.000 1.120
```

Summary:
final energy: -4.460 eV per atom
crystal system: monoclinic



[11]
Compound: Cr2AgF6
Source: the Alexandria database
Functional: PBE with a Hubbard U
Structure: relaxed

POSCAR file:
```
Cr2AgF6
1.0
5.495 0.000 0.000
-2.748 4.759 0.000
0.000 0.000 5.137
Cr Ag F
2 1 6
Cartesian
0.000 3.173 0.000
2.748 1.586 0.000
0.000 0.000 2.569
-1.011 1.751 1.051
-1.737 3.008 4.086
2.022 0.000 1.051
1.011 1.751 4.086
3.473 0.000 4.086
1.737 3.008 1.051
```

Summary:
final energy: -5.458 eV per atom
crystal system: trigonal



[12]
Compound: CrAg2F7
Source: the Alexandria database
Functional: PBE with a Hubbard U
Structure: relaxed

POSCAR file:
```
CrAg2F7
1.0
5.845 -3.228 0.000
5.845 3.228 0.000
-4.970 0.000 7.162
Cr Ag F
2 4 14
Cartesian
2.118 2.372 5.371
4.603 -2.372 1.790
2.548 0.481 1.515
0.063 -0.481 5.096
6.657 0.481 2.066
4.172 -0.481 5.647
-2.644 0.655 5.908
1.834 2.021 3.536
0.316 1.814 5.915
-0.159 -0.655 2.327
7.371 2.021 0.045
3.920 1.814 4.828
2.118 0.234 5.371
4.603 -0.234 1.790
2.801 -1.814 2.334
-0.650 -2.021 7.117
6.880 0.655 4.835
6.405 -1.814 1.247
4.886 -2.021 3.626
9.364 -0.655 1.254
```

Summary:
final energy: -4.280 eV per atom
crystal system: monoclinic